A relaxed structure of SrPmTlBi, computed with PBE.

Unit cell a=5.6860 b=5.6860 c=5.6860 alpha=60.00 beta=60.00 gamma=60.00
Closest atoms and distances in Å follow each position.
Fractional positions:
Sr (0.2500, 0.2500, 0.2500)  4 Tl 3.48, 4 Bi 3.48
Tl (0.0000, 0.0000, 0.0000)  4 Pm 3.48, 4 Sr 3.48
Bi (0.5000, 0.5000, 0.5000)  4 Pm 3.48, 4 Sr 3.48
Pm (0.7500, 0.7500, 0.7500)  4 Bi 3.48, 4 Tl 3.48

## Properties
ΔH_f (0 K) (kJ/mol of atoms): -45.36
Space-group type: No. 216
Total moment (μB/f.u.): 0.000
Crystal system: cubic


A relaxed structure of Er2MnBePt6, computed with PBE.

Unit cell a=5.5900 b=7.5487 c=7.5484 alpha=43.47 beta=68.27 gamma=90.00
Closest atoms and distances in Å follow each position.
Fractional positions:
Er (0.7068, 0.2935, 0.5864)  9 Pt 3.01-3.21, 3 Mn 3.33
Er (0.2932, 0.7065, 0.4136)  9 Pt 3.01-3.21, 3 Mn 3.33
Mn (0.0000, 0.0000, 0.0000)  6 Pt 2.51
Be (0.5000, 0.5000, 0.0000)  6 Pt 2.20
Pt (0.2594, 0.2349, 0.4813)  1 Be 2.20
Pt (0.7658, 0.7411, 0.9748)  1 Be 2.20
Pt (0.2595, 0.7411, 0.9749)  1 Be 2.20
Pt (0.7405, 0.2589, 0.0252)  1 Be 2.20
Pt (0.2342, 0.2589, 0.0252)  1 Be 2.20
Pt (0.7406, 0.7651, 0.5187)  1 Be 2.20

## Properties
ΔH_f (0 K) (kJ/mol of atoms): -71.92
Space-group type: No. 166
Total moment (μB/f.u.): 4.143
Crystal system: trigonal


A relaxed structure of CrHPd3, computed with PBE.

Unit cell a=17.6854 b=6.9527 c=6.9527 alpha=156.85 beta=154.72 gamma=25.28
Closest atoms and distances in Å follow each position.
Fractional positions:
Cr (0.6022, 0.0929, 0.9071)  2 Cr 2.18
Cr (0.3978, 0.9071, 0.0929)  2 Cr 2.18
Pd (0.7987, 0.2322, 0.7678)  1 H 1.85
Pd (0.2013, 0.7678, 0.2322)  1 H 1.85
Pd (0.0402, 0.2903, 0.7097)  2 H 1.84
Pd (0.9598, 0.7097, 0.2903)  2 H 1.84
Pd (0.3794, 0.7400, 0.2600)  1 H 1.84
Pd (0.6206, 0.2600, 0.7400)  1 H 1.84
H (0.8686, 0.0172, 0.9828)  4 Pd 1.84-1.85
H (0.1314, 0.9828, 0.0172)  4 Pd 1.84-1.85

## Properties
Space-group type: No. 12
Total moment (μB/f.u.): 0.000
Uncorrected energy (eV per atom): -5.627
Crystal system: monoclinic


A relaxed structure of Dy2In3Hg3, computed with PBE.

Unit cell a=4.6270 b=4.5898 c=9.1712 alpha=90.00 beta=90.00 gamma=90.00
Closest atoms and distances in Å follow each position.
Fractional positions:
Dy (0.0000, 0.0000, 0.7518)  6 In 3.23-3.27, 6 Hg 3.25-3.26
Dy (0.0000, 0.0000, 0.2482)  6 In 3.23-3.27, 6 Hg 3.25-3.26
In (0.5000, 0.0000, 0.5000)  4 Hg 3.22, 4 In 3.26, 4 Dy 3.27
In (0.0000, 0.5000, 0.0000)  4 Dy 3.23, 8 Hg 3.26-3.28
In (0.0000, 0.5000, 0.5000)  4 Hg 3.23, 4 Dy 3.26, 4 In 3.26
Hg (0.5000, 0.5000, 0.7465)  6 In 3.22-3.28, 4 Dy 3.26, 2 Hg 3.27
Hg (0.5000, 0.5000, 0.2535)  6 In 3.22-3.28, 4 Dy 3.26, 2 Hg 3.27
Hg (0.5000, 0.0000, 0.0000)  4 Dy 3.25, 4 In 3.26, 4 Hg 3.27

## Properties
ΔH_f (0 K) (kJ/mol of atoms): -35.46
Space-group type: No. 47
Total moment (μB/f.u.): 0.000
Crystal system: orthorhombic